Entry from Alexandria via LeMat-Bulk: a relaxed structure of TmBiPb (GGA-PBE).

Lattice parameters (Å, degrees): 4.231 4.231 10.526 90.00 90.00 90.00
Space group P4/nmm (No. 129, origin choice 2)
Unique sites:
Tm: 0.250 0.250 0.111 (multiplicity 2)
Bi: 0.250 0.250 0.805 (multiplicity 2)
Pb: 0.250 0.250 0.423 (multiplicity 2)

Results
calculated formation energy: -0.3240 eV/atom
M_tot: 0.00 μB/f.u.
E above lowest polymorph: 0.0 meV/atom

Entry from Alexandria via LeMat-Bulk: a relaxed structure of TmBiPb2 (GGA-PBE).

Lattice parameters (Å, degrees): 4.836 4.836 5.018 90.00 90.00 90.00
Space group P4/mmm (No. 123)
Unique sites:
Tm: 0.000 0.000 0.000 (multiplicity 1)
Bi: 0.500 0.500 0.000 (multiplicity 1)
Pb: 0.000 0.500 0.500 (multiplicity 2)

Results
calculated formation energy: -0.2353 eV/atom
M_tot: 0.00 μB/f.u.

Entry from Alexandria via LeMat-Bulk: a relaxed structure of Tm8BiPb2 (GGA-PBE).

Lattice parameters (Å, degrees): 18.214 5.191 6.773 90.00 91.96 90.00
Space group C2/m (No. 12)
Unique sites:
Tm: 0.034 0.000 0.241 (multiplicity 4)
Tm: 0.092 0.500 0.936 (multiplicity 4)
Tm: 0.166 0.500 0.407 (multiplicity 4)
Tm: 0.214 0.000 0.115 (multiplicity 4)
Bi: 0.000 0.500 0.500 (multiplicity 2)
Pb: 0.162 0.000 0.670 (multiplicity 4)

Results
calculated formation energy: -0.3029 eV/atom
M_tot: 0.00 μB/f.u.

Entry from Alexandria via LeMat-Bulk: a relaxed structure of TmBi2Pb (GGA-PBE).

Lattice parameters (Å, degrees): 4.7089 4.7089 21.5551 90.00 90.00 120.00
Space group R3m (No. 160, hexagonal axes)
Unique sites:
Tm: 0.0000 0.0000 0.0000 (multiplicity 3)
Bi: 0.0000 0.0000 0.4069 (multiplicity 3)
Bi: 0.0000 0.0000 0.5918 (multiplicity 3)
Pb: 0.0000 0.0000 0.8298 (multiplicity 3)

Results
calculated formation energy: -0.2317 eV/atom
M_tot: 0.00 μB/f.u.
E above lowest polymorph: 65.3 meV/atom

Entry from Alexandria via LeMat-Bulk: a relaxed structure of Tm12Bi2Pb5 (GGA-PBE).

Lattice parameters (Å, degrees): 17.203 7.043 10.155 90.00 101.22 90.00
Space group C2/m (No. 12)
Unique sites:
Tm: 0.013 0.000 0.295 (multiplicity 4)
Tm: 0.102 0.500 0.817 (multiplicity 4)
Tm: 0.146 0.238 0.560 (multiplicity 8)
Tm: 0.180 0.247 0.100 (multiplicity 8)
Bi: 0.000 0.251 0.000 (multiplicity 4)
Pb: 0.000 0.500 0.500 (multiplicity 2)
Pb: 0.168 0.000 0.824 (multiplicity 4)
Pb: 0.208 0.000 0.350 (multiplicity 4)

Results
calculated formation energy: -0.2070 eV/atom
M_tot: 0.00 μB/f.u.

Entry from Alexandria via LeMat-Bulk: a relaxed structure of Tm8Bi2Pb (GGA-PBE).

Lattice parameters (Å, degrees): 18.353 5.145 6.840 90.00 92.58 90.00
Space group C2/m (No. 12)
Unique sites:
Tm: 0.035 0.000 0.243 (multiplicity 4)
Tm: 0.092 0.500 0.938 (multiplicity 4)
Tm: 0.162 0.500 0.408 (multiplicity 4)
Tm: 0.216 0.000 0.127 (multiplicity 4)
Bi: 0.165 0.000 0.675 (multiplicity 4)
Pb: 0.000 0.500 0.500 (multiplicity 2)

Results
calculated formation energy: -0.3098 eV/atom
M_tot: 0.00 μB/f.u.

Entry from Alexandria via LeMat-Bulk: a relaxed structure of Tm7Bi2Pb2 (GGA-PBE).

Lattice parameters (Å, degrees): 10.872 8.902 7.319 90.00 90.11 90.00
Space group C2/m (No. 12)
Unique sites:
Tm: 0.000 0.000 0.000 (multiplicity 2)
Tm: 0.000 0.500 0.272 (multiplicity 4)
Tm: 0.250 0.249 0.279 (multiplicity 8)
Bi: 0.219 0.500 0.001 (multiplicity 4)
Pb: 0.000 0.184 0.500 (multiplicity 4)

Results
calculated formation energy: -0.1049 eV/atom
M_tot: 2.11 μB/f.u.

Entry from Alexandria via LeMat-Bulk: a relaxed structure of Tm4BiPb (GGA-PBE).

Lattice parameters (Å, degrees): 8.867 5.124 8.823 90.00 109.46 90.00
Space group C2/m (No. 12)
Unique sites:
Tm: 0.125 0.000 0.374 (multiplicity 4)
Tm: 0.126 0.500 0.878 (multiplicity 4)
Bi: 0.000 0.500 0.500 (multiplicity 2)
Pb: 0.000 0.000 0.000 (multiplicity 2)

Results
calculated formation energy: -0.1452 eV/atom
M_tot: 0.00 μB/f.u.
E above lowest polymorph: 215.8 meV/atom